Entry 1:
A geometry-optimized La2TeOs structure, computed with GGA-PBE.

Properties
Its total energy is -6.515 eV per atom. The value obtained for the density of states at the Fermi level is 0.000 states/eV/f.u. The formation energy without anion corrections comes out at -1.83 eV per formula unit.

Structure (CIF):
```
data_La2TeOs
_cell_length_a 7.8088
_cell_length_b 7.8088
_cell_length_c 8.5592
_cell_angle_alpha 90.00
_cell_angle_beta 90.00
_cell_angle_gamma 90.00
_space_group_name_H-M_alt 'I -4 2 d'
_space_group_IT_number 122
_space_group_name_Hall 'I -4 2bw'
loop_
_atom_site_label
_atom_site_fract_x
_atom_site_fract_y
_atom_site_fract_z
La1 0.1917 0.7500 0.1250
Te1 0.0000 0.0000 0.5000
Os1 0.0000 0.0000 0.0000
```

Entry 2:
A geometry-optimized La2TeOs structure, computed with GGA-PBE.

Properties
Its total energy is -6.643 eV per atom. The value obtained for the density of states at the Fermi level is 0.344 states/eV/f.u. The formation energy without anion corrections comes out at -2.34 eV per formula unit.

Structure (CIF):
```
data_La2TeOs
_cell_length_a 4.3957
_cell_length_b 4.3957
_cell_length_c 6.5768
_cell_angle_alpha 90.00
_cell_angle_beta 90.00
_cell_angle_gamma 90.00
_space_group_name_H-M_alt 'P 4 m m'
_space_group_IT_number 99
_space_group_name_Hall 'P 4 -2'
loop_
_atom_site_label
_atom_site_fract_x
_atom_site_fract_y
_atom_site_fract_z
La1 0.0000 0.0000 0.0000
La2 0.5000 0.5000 0.3890
Te1 0.5000 0.5000 0.8837
Os1 0.0000 0.0000 0.3779
```

Entry 3:
A geometry-optimized LaTeOs3 structure, computed with GGA-PBE.

Properties
Its total energy is -5.601 eV per atom. The value obtained for the density of states at the Fermi level is 8.234 states/eV/f.u. The formation energy without anion corrections comes out at 13.75 eV per formula unit. For the energy above the most stable polymorph in this dataset, the calculation gives 1.3736 eV per atom.

Structure (CIF):
```
data_LaTeOs3
_cell_length_a 4.9132
_cell_length_b 4.9132
_cell_length_c 4.9132
_cell_angle_alpha 90.00
_cell_angle_beta 90.00
_cell_angle_gamma 90.00
_space_group_name_H-M_alt 'P m -3 m'
_space_group_IT_number 221
_space_group_name_Hall '-P 4 2 3'
loop_
_atom_site_label
_atom_site_fract_x
_atom_site_fract_y
_atom_site_fract_z
La1 0.0000 0.0000 0.0000
Te1 0.5000 0.5000 0.5000
Os1 0.0000 0.0000 0.5000
```